1.
Material: SiP3W
Method: DFT, meta-GGA SCAN
State: PBEsol geometry

a b c (Å): 4.6513 4.6513 4.6513
angles (deg): 90.00 90.00 90.00
Space group Pm-3m (No. 221)
Unique sites:
Si (0.0000, 0.0000, 0.0000) (multiplicity 1)
P (0.0000, 0.5000, 0.5000) (multiplicity 3)
W (0.5000, 0.5000, 0.5000) (multiplicity 1)

Calculated values
E_tot = -21.197 eV/atom
E_form (uncorrected) = 0.98 eV per atom
Fermi-level density of states = 0.785 states/eV/atom

---

2.
Material: Zn2SiP
Method: DFT, meta-GGA SCAN
State: PBEsol geometry

a b c (Å): 4.0728 4.0728 7.1313
angles (deg): 90.00 90.00 90.00
Space group I-4m2 (No. 119)
Unique sites:
Zn (0.0000, 0.0000, 0.0000) (multiplicity 2)
Zn (0.0000, 0.5000, 0.2500) (multiplicity 2)
Si (0.0000, 0.5000, 0.7500) (multiplicity 2)
P (0.0000, 0.0000, 0.5000) (multiplicity 2)

Calculated values
E_tot = -11.382 eV/atom
E_form (uncorrected) = 0.48 eV per atom
Fermi-level density of states = 0.296 states/eV/atom

---

3.
Material: Zn2SiP
Method: DFT, meta-GGA SCAN
State: PBEsol geometry

a b c (Å): 3.1062 3.1062 7.0237
angles (deg): 90.00 90.00 90.00
Space group P4mm (No. 99)
Unique sites:
Zn (0.0000, 0.0000, 0.0000) (multiplicity 1)
Zn (0.5000, 0.5000, 0.2012) (multiplicity 1)
Si (0.5000, 0.5000, 0.5417) (multiplicity 1)
P (0.0000, 0.0000, 0.6658) (multiplicity 1)

Calculated values
E_tot = -11.744 eV/atom
E_form (uncorrected) = 0.12 eV per atom
Fermi-level density of states = 0.237 states/eV/atom

---

4.
Material: Zn2SiP
Method: DFT, meta-GGA SCAN
State: PBEsol geometry

a b c (Å): 3.3016 3.7341 10.1281
angles (deg): 90.00 90.00 90.00
Space group Imm2 (No. 44)
Unique sites:
Zn (0.0000, 0.0000, 0.0000) (multiplicity 2)
Zn (0.0000, 0.5000, 0.1783) (multiplicity 2)
Si (0.0000, 0.0000, 0.4261) (multiplicity 2)
P (0.0000, 0.5000, 0.7611) (multiplicity 2)

Calculated values
E_tot = -11.607 eV/atom
E_form (uncorrected) = 0.25 eV per atom
Fermi-level density of states = 0.224 states/eV/atom